Entry from the Alexandria database: an optimized crystal structure of SiAsS3 (GGA-PBEsol).

Calculated values
formation energy without anion corrections	295	meV/atom

abc: 4.4370 4.4370 4.4370
angles: 90.00 90.00 90.00
Closest atoms and distances in Å follow each position.
Fractional coordinates of all 5 atoms:
As1 0.5000 0.5000 0.5000  12 S 3.14
Si1 0.0000 0.0000 0.0000  6 S 2.22
S1 0.0000 0.5000 0.0000  2 Si 2.22
S2 0.0000 0.0000 0.5000  2 Si 2.22
S3 0.5000 0.0000 0.0000  2 Si 2.22



Entry from the Alexandria database: an optimized crystal structure of Ir2PtPb (GGA-PBEsol).

Calculated values
calculated formation energy	565	meV per atom

abc: 4.5380 4.5380 4.5380
angles: 60.00 60.00 60.00
Closest atoms and distances in Å follow each position.
Fractional coordinates of all 4 atoms:
Ir1 0.0000 0.0000 0.0000  4 Ir 2.78, 4 Pt 2.78
Ir2 0.7500 0.7500 0.7500  4 Pb 2.78, 4 Ir 2.78
Pb1 0.5000 0.5000 0.5000  4 Ir 2.78, 4 Pt 2.78
Pt1 0.2500 0.2500 0.2500  4 Pb 2.78, 4 Ir 2.78



| no. | total magnetic moment (μB per formula unit) | total DFT energy (no corrections) (eV/atom) |
| --- | --- | --- |
| 1 | 0.00 | -4.506 |
| 2 | 0.00 | -7.087 |